1.
VASP calculation (PBE-GGA) on a relaxed structure of Ce2TeI2N.

Unit cell a=4.100 b=11.957 c=9.034 alpha=90.00 beta=90.00 gamma=90.00
Space group Pmc2_1 (No. 26)
Asymmetric unit:
1 Ce 0.000 0.049 0.000 [2 per cell]
2 Ce 0.500 0.204 0.418 [2 per cell]
3 Te 0.500 0.066 0.727 [2 per cell]
4 I 0.000 0.401 0.490 [2 per cell]
5 I 0.500 0.262 0.071 [2 per cell]
6 N 0.000 0.119 0.424 [2 per cell]

Calculated values
Energy relative to the elements, uncorrected (eV per atom): -1.362
DOS at the Fermi energy (states/eV per atom): 1.507
Calculated density (g/cm3): 5.1

***

2.
VASP calculation (PBE-GGA) on a relaxed structure of CeTmIN2.

Unit cell a=7.372 b=4.185 c=7.984 alpha=90.00 beta=109.33 gamma=90.00
Space group P2_1/m (No. 11)
Asymmetric unit:
1 Ce 0.142 0.250 0.413 [2 per cell]
2 Tm 0.130 0.250 0.918 [2 per cell]
3 I 0.473 0.750 0.754 [2 per cell]
4 N 0.006 0.750 0.872 [2 per cell]
5 N 0.016 0.750 0.384 [2 per cell]

Calculated values
Energy relative to the elements, uncorrected (eV per atom): -1.554
Calculated density (g/cm3): 6.6

***

3.
VASP calculation (PBE-GGA) on a relaxed structure of Na2CeI4.

Unit cell a=8.060 b=8.060 c=9.774 alpha=90.00 beta=90.00 gamma=90.00
Space group I-42m (No. 121)
Asymmetric unit:
1 Na 0.000 0.500 0.250 [4 per cell]
2 Ce 0.000 0.000 0.000 [2 per cell]
3 I 0.241 0.241 0.612 [8 per cell]

Calculated values
Energy relative to the elements, uncorrected (eV per atom): -1.040
DOS at the Fermi energy (states/eV per atom): 1.361
Calculated density (g/cm3): 3.6

***

4.
VASP calculation (PBE-GGA) on a relaxed structure of NaCe3I8.

Unit cell a=8.8978 b=8.8978 c=15.5389 alpha=90.00 beta=90.00 gamma=120.00
Space group P6_3mc (No. 186)
Asymmetric unit:
1 Na 0.3333 0.6667 0.0000 [2 per cell]
2 Ce 0.1798 0.3596 0.7445 [6 per cell]
3 I 0.0000 0.0000 0.3586 [2 per cell]
4 I 0.0012 0.5006 0.3728 [6 per cell]
5 I 0.1664 0.3327 0.1285 [6 per cell]
6 I 0.3333 0.6667 0.6052 [2 per cell]

Calculated values
Energy relative to the elements, uncorrected (eV per atom): -1.270
DOS at the Fermi energy (states/eV per atom): 1.774
Calculated density (g/cm3): 4.5

***

5.
VASP calculation (PBE-GGA) on a relaxed structure of NaCeI2.

Unit cell a=4.1148 b=4.1148 c=32.7743 alpha=90.00 beta=90.00 gamma=120.00
Space group R-3m (No. 166, hexagonal axes)
Asymmetric unit:
1 Na 0.0000 0.0000 0.0000 [3 per cell]
2 Ce 0.0000 0.0000 0.5000 [3 per cell]
3 I 0.0000 0.0000 0.1004 [6 per cell]

Calculated values
Energy relative to the elements, uncorrected (eV per atom): -0.887
DOS at the Fermi energy (states/eV per atom): 1.644
Calculated density (g/cm3): 4.3

***

6.
VASP calculation (PBE-GGA) on a relaxed structure of NaCeI5.

Unit cell a=13.494 b=9.289 c=11.949 alpha=90.00 beta=116.25 gamma=90.00
Space group C2/c (No. 15)
Asymmetric unit:
1 Na 0.000 0.027 0.250 [4 per cell]
2 Ce 0.000 0.500 0.000 [4 per cell]
3 I 0.000 0.392 0.250 [4 per cell]
4 I 0.071 0.201 0.973 [8 per cell]
5 I 0.235 0.412 0.641 [8 per cell]

Calculated values
Energy relative to the elements, uncorrected (eV per atom): -1.113
Calculated density (g/cm3): 3.9